Below is a relaxed Li3AcPd3 crystal, with properties calculated at the PBE level. Values from VASP.

Output
Total magnetic moment = 0.00 μB per formula unit
E above lowest polymorph = 0.0 meV/atom
Calculated volume = 288.5 Å³/cell
Energy of formation from the pure elements = -10.4 kcal/mol of atoms

```
&SYSTEM
  ibrav = 0, nat = 14, ntyp = 3
/
ATOMIC_SPECIES
Li 6.94 Li.upf
Ac 227.00 Ac.upf
Pd 106.42 Pd.upf
CELL_PARAMETERS angstrom
8.5717 0.0000 0.0000
0.0000 4.5265 0.0000
-4.2843 0.0000 7.4360
ATOMIC_POSITIONS angstrom
Li -0.9359 1.1316 1.9257
Li -1.1979 1.1316 5.6610
Li 0.0092 3.3949 3.8741
Li 4.2782 1.1316 3.5620
Li 5.4853 3.3949 1.7750
Li 5.2233 3.3949 5.5103
Ac 2.1423 3.3949 1.2415
Ac 2.1451 1.1316 6.1945
Pd -3.5063 1.1316 7.0364
Pd 1.4064 1.1316 3.2468
Pd 0.0405 3.3949 6.5624
Pd 4.2469 1.1316 0.8737
Pd 2.8810 3.3949 4.1892
Pd 7.7937 3.3949 0.3996
```

Below is a relaxed LiAc2Pd crystal, with properties calculated at the PBE level. Values from VASP.

Output
Total magnetic moment = 0.00 μB per formula unit
Calculated volume = 135.6 Å³/cell
Energy of formation from the pure elements = 5.4 kcal/mol of atoms

```
&SYSTEM
  ibrav = 0, nat = 4, ntyp = 3
/
ATOMIC_SPECIES
Li 6.94 Li.upf
Ac 227.00 Ac.upf
Pd 106.42 Pd.upf
CELL_PARAMETERS angstrom
1.8589 1.0733 11.3318
-1.8589 1.0733 11.3318
0.0000 -2.1465 11.3318
ATOMIC_POSITIONS angstrom
Li 0.0000 0.0000 0.0000
Ac 0.0000 0.0000 14.2290
Ac 0.0000 0.0000 19.7662
Pd 0.0000 0.0000 16.9976
```

What did the second record say?
Below is a relaxed LiAc2Pd crystal, with properties calculated at the PBE level. Values from VASP.

Output
Total magnetic moment = 0.00 μB per formula unit
Calculated volume = 135.6 Å³/cell
Energy of formation from the pure elements = 5.4 kcal/mol of atoms

```
&SYSTEM
  ibrav = 0, nat = 4, ntyp = 3
/
ATOMIC_SPECIES
Li 6.94 Li.upf
Ac 227.00 Ac.upf
Pd 106.42 Pd.upf
CELL_PARAMETERS angstrom
1.8589 1.0733 11.3318
-1.8589 1.0733 11.3318
0.0000 -2.1465 11.3318
ATOMIC_POSITIONS angstrom
Li 0.0000 0.0000 0.0000
Ac 0.0000 0.0000 14.2290
Ac 0.0000 0.0000 19.7662
Pd 0.0000 0.0000 16.9976
```

Which value of energy of formation from the pure elements does entry 1 give? -10.4 kcal/mol of atoms

Copy entry 2 word for word.
Below is a relaxed LiAc2Pd crystal, with properties calculated at the PBE level. Values from VASP.

Output
Total magnetic moment = 0.00 μB per formula unit
Calculated volume = 135.6 Å³/cell
Energy of formation from the pure elements = 5.4 kcal/mol of atoms

```
&SYSTEM
  ibrav = 0, nat = 4, ntyp = 3
/
ATOMIC_SPECIES
Li 6.94 Li.upf
Ac 227.00 Ac.upf
Pd 106.42 Pd.upf
CELL_PARAMETERS angstrom
1.8589 1.0733 11.3318
-1.8589 1.0733 11.3318
0.0000 -2.1465 11.3318
ATOMIC_POSITIONS angstrom
Li 0.0000 0.0000 0.0000
Ac 0.0000 0.0000 14.2290
Ac 0.0000 0.0000 19.7662
Pd 0.0000 0.0000 16.9976
```